# NaPmZn2

An optimized crystal structure of NaPmZn2 (PBE, the Alexandria database).

The structure in POSCAR format:
```
NaPmZn2
1.0
5.216 0.000 0.000
0.000 5.216 0.000
0.000 0.000 3.495
Na Pm Zn
1 1 2
Cartesian
0.000 0.000 0.000
2.608 2.608 0.000
0.000 2.608 1.747
2.608 0.000 1.747
```

Output
- DFT total energy (eV per formula unit) = -9.0
- ΔE to the lowest computed polymorph (meV per atom) = 24
- E_form (eV/atom) = -0.09

# MgZn2W

An optimized crystal structure of MgZn2W (PBE, the Alexandria database).

The structure in POSCAR format:
```
MgZn2W
1.0
3.055 0.000 0.000
0.000 4.513 0.000
0.000 0.000 4.619
Mg Zn W
1 2 1
Cartesian
0.000 0.000 0.000
0.000 2.257 2.310
1.527 2.257 0.000
1.527 0.000 2.310
```

Output
- DFT total energy (eV per formula unit) = -15.4
- E_form (eV/atom) = 0.42

# Sc5Te

An optimized crystal structure of Sc5Te (PBE, the Alexandria database).

The structure in POSCAR format:
```
Sc5Te
1.0
5.690 -1.782 0.000
5.690 1.782 0.000
-1.972 0.000 7.089
Sc Te
5 1
Cartesian
0.000 0.000 0.000
-0.919 0.000 4.161
2.238 0.000 4.796
3.557 0.000 1.767
6.614 0.000 2.350
6.134 0.000 6.596
```

Output
- DFT total energy (eV per formula unit) = -36.7
- ΔE to the lowest computed polymorph (meV per atom) = 16
- raw formation energy (kcal/mol of atoms) = -7.44

# Ac3TbSm12

An optimized crystal structure of Ac3TbSm12 (PBE, the Alexandria database).

The structure in POSCAR format:
```
Ac3TbSm12
1.0
5.220 0.000 0.000
0.000 5.220 0.000
0.000 0.000 20.857
Ac Tb Sm
3 1 12
Cartesian
0.000 0.000 0.000
0.000 0.000 5.267
0.000 0.000 15.590
0.000 0.000 10.429
0.000 2.610 2.636
0.000 2.610 7.928
0.000 2.610 12.929
0.000 2.610 18.222
2.610 0.000 2.636
2.610 0.000 7.928
2.610 0.000 12.929
2.610 0.000 18.222
2.610 2.610 0.000
2.610 2.610 5.289
2.610 2.610 10.429
2.610 2.610 15.568
```

Output
- DFT total energy (eV per formula unit) = -73.1
- E_form (eV/atom) = 0.03

Number 1: density of states at the Fermi level 0.73 states/eV/atom. Number 2: density of states at the Fermi level 0.64 states/eV/atom. Number 3: density of states at the Fermi level 1.19 states/eV/atom. Number 4: density of states at the Fermi level 1.61 states/eV/atom.